1.
# TcPHIr (GGA-PBE, optimized geometry)
# Raw total energy   -7.14 eV per atom
# M_tot   0.00 μB per formula unit
# Crystal system   monoclinic
data_TcPHIr
_chemical_formula_sum 'Tc1 P1 H1 Ir1'
_cell_length_a 2.860
_cell_length_b 2.866
_cell_length_c 5.683
_cell_angle_alpha 90.00
_cell_angle_beta 90.50
_cell_angle_gamma 90.00
_space_group_name_H-M_alt 'P 1 m 1'
_space_group_IT_number 6
_space_group_name_Hall 'P -2y'
loop_
_atom_site_label
_atom_site_type_symbol
_atom_site_fract_x
_atom_site_fract_y
_atom_site_fract_z
Tc1 Tc 0.000 0.000 0.000
P1 P 0.497 0.500 0.761
H1 H 0.877 0.000 0.408
Ir1 Ir 0.514 0.500 0.344


2.
# TcPHIr (GGA-PBE, optimized geometry)
# Raw total energy   -7.12 eV per atom
# M_tot   0.00 μB per formula unit
# Crystal system   monoclinic
data_TcPHIr
_chemical_formula_sum 'Tc2 P2 H2 Ir2'
_cell_length_a 5.398
_cell_length_b 3.121
_cell_length_c 5.912
_cell_angle_alpha 90.00
_cell_angle_beta 107.77
_cell_angle_gamma 90.00
_space_group_name_H-M_alt 'C 1 m 1'
_space_group_IT_number 8
_space_group_name_Hall 'C -2y'
loop_
_atom_site_label
_atom_site_type_symbol
_atom_site_fract_x
_atom_site_fract_y
_atom_site_fract_z
Tc1 Tc 0.000 0.000 0.000
P1 P 0.256 0.500 0.269
H1 H 0.280 0.000 0.839
Ir1 Ir 0.178 0.000 0.530


3.
# TcPHIr (GGA-PBE, optimized geometry)
# Raw total energy   -7.15 eV per atom
# M_tot   0.00 μB per formula unit
# Crystal system   monoclinic
data_TcPHIr
_chemical_formula_sum 'Tc1 P1 H1 Ir1'
_cell_length_a 3.245
_cell_length_b 2.974
_cell_length_c 5.015
_cell_angle_alpha 90.00
_cell_angle_beta 92.57
_cell_angle_gamma 90.00
_space_group_name_H-M_alt 'P 1 m 1'
_space_group_IT_number 6
_space_group_name_Hall 'P -2y'
loop_
_atom_site_label
_atom_site_type_symbol
_atom_site_fract_x
_atom_site_fract_y
_atom_site_fract_z
Tc1 Tc 0.000 0.000 0.000
P1 P 0.493 0.500 0.815
H1 H 0.215 0.000 0.354
Ir1 Ir 0.980 0.500 0.486


4.
# TcPHIr (GGA-PBE, optimized geometry)
# Raw total energy   -7.10 eV per atom
# M_tot   0.00 μB per formula unit
# Crystal system   monoclinic
data_TcPHIr
_chemical_formula_sum 'Tc2 P2 H2 Ir2'
_cell_length_a 5.254
_cell_length_b 3.106
_cell_length_c 5.844
_cell_angle_alpha 90.00
_cell_angle_beta 98.19
_cell_angle_gamma 90.00
_space_group_name_H-M_alt 'C 1 m 1'
_space_group_IT_number 8
_space_group_name_Hall 'C -2y'
loop_
_atom_site_label
_atom_site_type_symbol
_atom_site_fract_x
_atom_site_fract_y
_atom_site_fract_z
Tc1 Tc 0.000 0.000 0.000
P1 P 0.372 0.000 0.266
H1 H 0.267 0.000 0.813
Ir1 Ir 0.068 0.000 0.529


5.
# ThPHIr (GGA-PBE, optimized geometry)
# Raw total energy   -7.15 eV per atom
# M_tot   0.00 μB per formula unit
# Crystal system   tetragonal
data_ThPHIr
_chemical_formula_sum 'Th2 P2 H2 Ir2'
_cell_length_a 3.997
_cell_length_b 3.997
_cell_length_c 7.690
_cell_angle_alpha 90.00
_cell_angle_beta 90.00
_cell_angle_gamma 90.00
_space_group_name_H-M_alt 'P 4/n m m'
_space_group_IT_number 129
loop_
_space_group_symop_operation_xyz
'x,y,z'
'-x,-y,-z'
'-y+1/2,x,z'
'y+1/2,-x,-z'
'-x+1/2,-y+1/2,z'
'x+1/2,y+1/2,-z'
'y,-x+1/2,z'
'-y,x+1/2,-z'
'x+1/2,-y,-z'
'-x+1/2,y,z'
'-y,-x,-z'
'y,x,z'
'-x,y+1/2,-z'
'x,-y+1/2,z'
'y+1/2,x+1/2,-z'
'-y+1/2,-x+1/2,z'
loop_
_atom_site_label
_atom_site_type_symbol
_atom_site_fract_x
_atom_site_fract_y
_atom_site_fract_z
Th1 Th 0.250 0.250 0.179
P1 P 0.250 0.250 0.694
H1 H 0.250 0.750 0.000
Ir1 Ir 0.250 0.750 0.500


6.
# PaH4Ir (GGA-PBE, optimized geometry)
# Raw total energy   -5.63 eV per atom
# M_tot   0.00 μB per formula unit
# Crystal system   monoclinic
data_PaH4Ir
_chemical_formula_sum 'Pa4 H16 Ir4'
_cell_length_a 7.535
_cell_length_b 4.357
_cell_length_c 7.309
_cell_angle_alpha 90.00
_cell_angle_beta 108.37
_cell_angle_gamma 90.00
_space_group_name_H-M_alt 'C 1 2/c 1'
_space_group_IT_number 15
_space_group_name_Hall '-C 2yc'
loop_
_atom_site_label
_atom_site_type_symbol
_atom_site_fract_x
_atom_site_fract_y
_atom_site_fract_z
Pa1 Pa 0.000 0.231 0.250
H1 H 0.014 0.288 0.908
H2 H 0.196 0.075 0.601
Ir1 Ir 0.250 0.250 0.000


7.
# PaH4Ir (GGA-PBE, optimized geometry)
# Raw total energy   -5.54 eV per atom
# M_tot   0.00 μB per formula unit
# Crystal system   orthorhombic
data_PaH4Ir
_chemical_formula_sum 'Pa2 H8 Ir2'
_cell_length_a 6.055
_cell_length_b 4.361
_cell_length_c 4.602
_cell_angle_alpha 90.00
_cell_angle_beta 90.00
_cell_angle_gamma 90.00
_space_group_name_H-M_alt 'P m n 21'
_space_group_IT_number 31
_space_group_name_Hall 'P 2ac -2'
loop_
_atom_site_label
_atom_site_type_symbol
_atom_site_fract_x
_atom_site_fract_y
_atom_site_fract_z
Pa1 Pa 0.000 0.202 0.000
H1 H 0.000 0.162 0.489
H2 H 0.000 0.708 0.175
H3 H 0.189 0.528 0.693
Ir1 Ir 0.000 0.782 0.558


8.
# Pa2HIr (GGA-PBE, optimized geometry)
# Raw total energy   -7.82 eV per atom
# M_tot   0.88 μB per formula unit
# Crystal system   trigonal
data_Pa2HIr
_chemical_formula_sum 'Pa6 H3 Ir3'
_cell_length_a 3.7975
_cell_length_b 3.7975
_cell_length_c 22.6187
_cell_angle_alpha 90.00
_cell_angle_beta 90.00
_cell_angle_gamma 120.00
_space_group_name_H-M_alt 'R -3 m'
_space_group_IT_number 166
_space_group_name_Hall '-R 3 2"'
loop_
_atom_site_label
_atom_site_type_symbol
_atom_site_fract_x
_atom_site_fract_y
_atom_site_fract_z
Pa1 Pa 0.0000 0.0000 0.0913
H1 H 0.0000 0.0000 0.0000
Ir1 Ir 0.0000 0.0000 0.5000


9.
# PaH3Ir (GGA-PBE, optimized geometry)
# Raw total energy   -6.11 eV per atom
# M_tot   0.00 μB per formula unit
# Crystal system   monoclinic
data_PaH3Ir
_chemical_formula_sum 'Pa2 H6 Ir2'
_cell_length_a 4.111
_cell_length_b 4.295
_cell_length_c 6.158
_cell_angle_alpha 90.00
_cell_angle_beta 109.25
_cell_angle_gamma 90.00
_space_group_name_H-M_alt 'P 1 21/m 1'
_space_group_IT_number 11
_space_group_name_Hall '-P 2yb'
loop_
_atom_site_label
_atom_site_type_symbol
_atom_site_fract_x
_atom_site_fract_y
_atom_site_fract_z
Pa1 Pa 0.131 0.250 0.269
H1 H 0.111 0.750 0.133
H2 H 0.310 0.525 0.619
Ir1 Ir 0.422 0.250 0.843


10.
# PaHIr2 (GGA-PBE, optimized geometry)
# Raw total energy   -7.55 eV per atom
# M_tot   0.00 μB per formula unit
# Crystal system   trigonal
data_PaHIr2
_chemical_formula_sum 'Pa3 H3 Ir6'
_cell_length_a 3.6271
_cell_length_b 3.6271
_cell_length_c 20.6170
_cell_angle_alpha 90.00
_cell_angle_beta 90.00
_cell_angle_gamma 120.00
_space_group_name_H-M_alt 'R -3 m'
_space_group_IT_number 166
_space_group_name_Hall '-R 3 2"'
loop_
_atom_site_label
_atom_site_type_symbol
_atom_site_fract_x
_atom_site_fract_y
_atom_site_fract_z
Pa1 Pa 0.0000 0.0000 0.0000
H1 H 0.0000 0.0000 0.5000
Ir1 Ir 0.0000 0.0000 0.4154


11.
# PaH8Ir2Pd (GGA-PBE, optimized geometry)
# Raw total energy   -5.02 eV per atom
# M_tot   0.00 μB per formula unit
# Crystal system   monoclinic
data_PaH8Ir2Pd
_chemical_formula_sum 'Pa2 H16 Ir4 Pd2'
_cell_length_a 8.911
_cell_length_b 4.168
_cell_length_c 5.955
_cell_angle_alpha 90.00
_cell_angle_beta 111.57
_cell_angle_gamma 90.00
_space_group_name_H-M_alt 'C 1 2/m 1'
_space_group_IT_number 12
_space_group_name_Hall '-C 2y'
loop_
_atom_site_label
_atom_site_type_symbol
_atom_site_fract_x
_atom_site_fract_y
_atom_site_fract_z
Pa1 Pa 0.000 0.000 0.000
H1 H 0.131 0.253 0.750
H2 H 0.133 0.500 0.011
H3 H 0.182 0.000 0.381
Ir1 Ir 0.239 0.500 0.307
Pd1 Pd 0.000 0.500 0.500


12.
# PaH6IrPd (GGA-PBE, optimized geometry)
# Raw total energy   -5.02 eV per atom
# M_tot   0.92 μB per formula unit
# Crystal system   hexagonal
data_PaH6IrPd
_chemical_formula_sum 'Pa1 H6 Ir1 Pd1'
_cell_length_a 4.7233
_cell_length_b 4.7233
_cell_length_c 4.1694
_cell_angle_alpha 90.00
_cell_angle_beta 90.00
_cell_angle_gamma 120.00
_space_group_name_H-M_alt 'P -6 m 2'
_space_group_IT_number 187
_space_group_name_Hall 'P -6 2'
loop_
_atom_site_label
_atom_site_type_symbol
_atom_site_fract_x
_atom_site_fract_y
_atom_site_fract_z
Pa1 Pa 0.0000 0.0000 0.0000
H1 H 0.5097 0.0194 0.2153
Ir1 Ir 0.6667 0.3333 0.5000
Pd1 Pd 0.3333 0.6667 0.5000


Question: Which value of raw total energy does entry 9 give?
Answer: -6.11 eV per atom